Entry 1:
La2YSc | Alexandria via LeMat-Bulk | GGA-PBEsol | relaxed; D(E_F) = 6.3 states/eV/cell; E above lowest polymorph = 23 meV/atom; spin magnetization = 0.00 Bohr magnetons per cell; E_tot = -5.978 eV/atom
1.0
3.550 0.000 0.000
0.000 3.550 0.000
0.000 0.000 9.636
La Sc Y
2 1 1
Direct
0.500 0.500 0.262
0.000 0.000 0.005
0.000 0.000 0.503
0.500 0.500 0.730

Entry 2:
CuSiB2 | Alexandria via LeMat-Bulk | GGA-PBEsol | relaxed; D(E_F) = 2.8 states/eV/cell; spin magnetization = 0.00 Bohr magnetons per cell; formation energy (no corrections) = 0.842 eV/atom; E_tot = -5.186 eV/atom
1.0
-3.775 -2.782 0.375
2.287 -2.683 3.114
-0.819 5.307 1.622
B Si Cu
4 2 2
Direct
0.875 0.375 0.250
0.125 0.125 0.750
0.375 0.875 0.250
0.625 0.625 0.750
0.750 0.250 0.500
0.500 0.500 0.000
0.000 0.000 0.000
0.250 0.750 0.500

Entry 3:
SnSb4S7 | Alexandria via LeMat-Bulk | GGA-PBEsol | relaxed; spin magnetization = 0.00 Bohr magnetons per cell; formation energy (no corrections) = -0.312 eV/atom; E_tot = -4.744 eV/atom
1.0
3.858 0.000 0.000
0.000 10.918 0.024
0.000 -3.549 13.443
Sb S Sn
8 14 2
Direct
0.750 0.661 0.045
0.750 0.671 0.482
0.750 0.074 0.628
0.750 0.945 0.886
0.250 0.926 0.372
0.250 0.055 0.114
0.250 0.329 0.518
0.250 0.339 0.955
0.750 0.485 0.888
0.750 0.752 0.325
0.750 0.769 0.737
0.750 0.946 0.180
0.250 0.528 0.397
0.750 0.472 0.603
0.250 0.887 0.541
0.750 0.231 0.040
0.250 0.248 0.675
0.250 0.054 0.820
0.250 0.769 0.960
0.750 0.113 0.459
0.250 0.231 0.263
0.250 0.515 0.112
0.250 0.612 0.776
0.750 0.388 0.224

Entry 4:
MgMo2Pb | Alexandria via LeMat-Bulk | GGA-PBEsol | relaxed; D(E_F) = 3.7 states/eV/cell; E above lowest polymorph = 224 meV/atom; spin magnetization = 0.00 Bohr magnetons per cell; E_tot = -6.523 eV/atom
1.0
-1.256 0.470 -2.675
0.653 -1.803 -2.297
-7.434 -6.119 0.741
Mg Pb Mo
1 1 2
Direct
0.000 0.000 0.000
0.500 0.500 0.500
0.750 0.750 0.750
0.250 0.250 0.250

Entry 5:
Ag2PPt | Alexandria via LeMat-Bulk | GGA-PBEsol | relaxed; D(E_F) = 2.3 states/eV/cell; spin magnetization = 0.00 Bohr magnetons per cell; E_tot = -4.545 eV/atom
1.0
-0.670 2.118 1.687
-4.568 -0.365 -1.356
-0.809 -3.089 3.556
Ag Pt P
2 1 1
Direct
0.000 0.500 0.000
0.000 0.000 0.500
0.500 0.000 0.000
0.500 0.500 0.500

Entry 6:
Cr2RuRh | Alexandria via LeMat-Bulk | GGA-PBEsol | relaxed; D(E_F) = 5.0 states/eV/cell; spin magnetization = 0.00 Bohr magnetons per cell; E_tot = -9.645 eV/atom
1.0
-0.414 1.063 2.354
-4.350 -0.936 -0.342
2.012 -3.486 1.928
Cr Ru Rh
2 1 1
Direct
0.000 0.500 0.000
0.000 0.000 0.500
0.500 0.500 0.500
0.500 0.000 0.000

Entry 7:
RbBa3W | Alexandria via LeMat-Bulk | GGA-PBEsol | relaxed; D(E_F) = 4.9 states/eV/cell; spin magnetization = 0.00 Bohr magnetons per cell; E_tot = -3.377 eV/atom
1.0
6.191 0.000 0.000
0.000 6.191 0.000
0.000 0.000 6.191
Ba W Rb
3 1 1
Direct
0.000 0.000 0.500
0.500 0.000 0.000
0.000 0.500 0.000
0.000 0.000 0.000
0.500 0.500 0.500

Entry 8:
La2GeRhO | Alexandria via LeMat-Bulk | GGA-PBEsol | relaxed; D(E_F) = 2.9 states/eV/cell; spin magnetization = 0.00 Bohr magnetons per cell; formation energy (no corrections) = -0.108 eV/atom; E_tot = -5.911 eV/atom
1.0
4.359 0.000 0.000
0.000 5.600 0.000
0.000 0.000 5.600
La O Rh Ge
2 1 1 1
Direct
0.000 0.500 0.000
0.000 0.000 0.500
0.500 0.500 0.500
0.500 0.000 0.000
0.000 0.000 0.000

Entry 9:
In2SnHg2 | Alexandria via LeMat-Bulk | GGA-PBEsol | relaxed; D(E_F) = 4.6 states/eV/cell; spin magnetization = 0.00 Bohr magnetons per cell; E_tot = -2.250 eV/atom
1.0
-1.293 3.400 -1.001
-4.251 -3.399 -6.052
-6.356 -0.947 4.996
Sn Hg In
2 4 4
Direct
0.000 0.500 0.500
0.000 0.000 0.000
0.000 0.135 0.365
0.000 0.865 0.635
0.000 0.635 0.135
0.000 0.365 0.865
0.500 0.666 0.834
0.500 0.334 0.166
0.500 0.166 0.666
0.500 0.834 0.334

Entry 10:
LiIn2Sb | Alexandria via LeMat-Bulk | GGA-PBEsol | relaxed; D(E_F) = 1.7 states/eV/cell; spin magnetization = 0.00 Bohr magnetons per cell; formation energy (no corrections) = -0.149 eV/atom; E_tot = -3.271 eV/atom
1.0
3.301 0.000 0.000
0.000 4.441 0.000
0.000 0.000 6.457
In Sb Li
2 1 1
Direct
0.500 0.500 0.250
0.000 0.000 0.009
0.500 0.500 0.716
0.000 0.000 0.526

Entry 11:
BeSi3Pd | Alexandria via LeMat-Bulk | GGA-PBEsol | relaxed; D(E_F) = 1.8 states/eV/cell; spin magnetization = 0.00 Bohr magnetons per cell; formation energy (no corrections) = 0.942 eV/atom; E_tot = -4.497 eV/atom
1.0
4.620 0.000 0.000
0.000 4.620 0.000
0.000 0.000 4.620
Pd Si Be
1 3 1
Direct
0.000 0.000 0.000
0.000 0.500 0.000
0.000 0.000 0.500
0.500 0.000 0.000
0.500 0.500 0.500

Entry 12:
Li2ZrHg | Alexandria via LeMat-Bulk | GGA-PBEsol | relaxed; D(E_F) = 4.9 states/eV/cell; spin magnetization = 0.00 Bohr magnetons per cell; E_tot = -3.370 eV/atom
1.0
-2.004 -3.364 -1.068
2.303 -0.316 -3.327
3.055 -2.568 2.358
Li Zr Hg
2 1 1
Direct
0.000 0.500 0.000
0.500 0.000 0.000
0.500 0.500 0.500
0.000 0.000 0.500